The following is a GGA+U calculation of SrNiF6 after structural relaxation, from the Alexandria database.

Cell lengths 4.7346, 4.7356, 4.7356 Å; angles 99.56, 99.53, 99.53 degrees
Fractional positions:
1 Ni 0.5000 0.5000 0.5000
2 F 0.7767 0.7768 0.4338
3 F 0.2233 0.2232 0.5662
4 F 0.4335 0.7767 0.7767
5 F 0.5665 0.2233 0.2233
6 Sr 0.0000 0.0000 0.0000
7 F 0.7767 0.4338 0.7768
8 F 0.2233 0.5662 0.2232

Calculated values
density of states at the Fermi level	0.000	states/eV/atom
DFT total energy	-4.297	eV/atom
V	12.65	Å³ per atom